<i>
Be2SeBr: optimized geometry, GGA-PBE.

POSCAR file:
```
Be2SeBr
1.0
3.229 0.000 0.000
0.000 3.228 0.000
0.000 0.000 6.548
Se Be Br
1 2 1
direct
0.500 0.500 0.750 Se
0.000 0.000 0.930 Be
0.000 0.000 0.570 Be
0.500 0.500 0.250 Br
```

---

<ii>
Be2SeBr: optimized geometry, GGA-PBE.

POSCAR file:
```
Be2SeBr
1.0
-1.128 2.833 -1.551
1.050 -1.231 -3.014
-5.808 -2.796 -0.881
Be Se Br
2 1 1
direct
0.000 0.000 0.957 Be
0.500 0.500 0.259 Be
0.500 0.500 0.923 Se
0.000 0.000 0.361 Br
```

---

Ranking the structures above by energy, <ii> is first and the second is 0.466 eV/atom behind.